(1)
Here is a geometry-optimized PmZrAgAu structure from Alexandria via LeMat-Bulk. Energies are from PBE.

Calculated values
Calculated density = 9.81 g cm⁻³
Space group = F-43m (216)
Formation energy from the elements = -27.7 kJ/mol of atoms
Magnetization = 1.1 μB/cell

Unit cell a=5.0603 b=5.0603 c=5.0603 alpha=60.00 beta=60.00 gamma=60.00
Positions (direct):
Pm  0.0000  0.0000  0.0000
Zr  0.5000  0.5000  0.5000
Ag  0.7500  0.7500  0.7500
Au  0.2500  0.2500  0.2500

---

(2)
Here is a geometry-optimized PrAg4Au4 structure from Alexandria via LeMat-Bulk. Energies are from PBE.

Calculated values
Calculated density = 11.93 g cm⁻³
Space group = P4_2/nmc (137)
Formation energy from the elements = -14.4 kJ/mol of atoms
Magnetization = 0.0 μB/cell

Unit cell a=6.2564 b=6.2564 c=9.6746 alpha=90.00 beta=90.00 gamma=90.00
Positions (direct):
Pr  0.2500  0.7500  0.2500
Pr  0.7500  0.2500  0.7500
Ag  0.0269  0.2500  0.1776
Ag  0.2500  0.0269  0.6776
Ag  0.2500  0.4731  0.6776
Ag  0.4731  0.2500  0.1776
Ag  0.5269  0.7500  0.8224
Ag  0.7500  0.5269  0.3224
Ag  0.7500  0.9731  0.3224
Ag  0.9731  0.7500  0.8224
Au  0.0209  0.2500  0.4718
Au  0.2500  0.0209  0.9718
Au  0.2500  0.4791  0.9718
Au  0.4791  0.2500  0.4718
Au  0.5209  0.7500  0.5282
Au  0.7500  0.5209  0.0282
Au  0.7500  0.9791  0.0282
Au  0.9791  0.7500  0.5282

---

(3)
Here is a geometry-optimized Pr2AgAu structure from Alexandria via LeMat-Bulk. Energies are from PBE.

Calculated values
Calculated density = 8.09 g cm⁻³
Space group = R3m (160)
Formation energy from the elements = -33.9 kJ/mol of atoms
Magnetization = 0.0 μB/cell

Unit cell a=8.1652 b=8.1652 c=8.1652 alpha=29.98 beta=29.98 gamma=29.98
Positions (direct):
Pr  0.0000  0.0000  0.0000
Pr  0.1758  0.1758  0.1758
Ag  0.4218  0.4218  0.4218
Au  0.5871  0.5871  0.5871

---

(4)
Here is a geometry-optimized Pr2Ag3Au2 structure from Alexandria via LeMat-Bulk. Energies are from PBE.

Calculated values
Calculated density = 10.22 g cm⁻³
Space group = C2/m (12)
Formation energy from the elements = -46.1 kJ/mol of atoms
Magnetization = 0.0 μB/cell

Unit cell a=5.5956 b=5.5956 c=7.3499 alpha=106.10 beta=106.10 gamma=47.79
Positions (direct):
Pr  0.1327  0.1327  0.2691
Pr  0.8673  0.8673  0.7309
Ag  0.3820  0.3820  0.0697
Ag  0.5000  0.5000  0.5000
Ag  0.6180  0.6180  0.9303
Au  0.1642  0.1642  0.7046
Au  0.8358  0.8358  0.2954

---

(5)
Here is a geometry-optimized Pr3Ag4Au4 structure from Alexandria via LeMat-Bulk. Energies are from PBE.

Calculated values
Calculated density = 10.70 g cm⁻³
Space group = P-1 (2)
Formation energy from the elements = -44.7 kJ/mol of atoms
Magnetization = 0.0 μB/cell

Unit cell a=3.6418 b=4.6272 c=15.4005 alpha=98.62 beta=96.66 gamma=90.01
Positions (direct):
Pr  0.0000  0.0000  0.0000
Pr  0.1433  0.6418  0.2851
Pr  0.8567  0.3582  0.7149
Ag  0.2586  0.2590  0.5175
Ag  0.4046  0.9057  0.8105
Ag  0.5954  0.0943  0.1895
Ag  0.7414  0.7410  0.4825
Au  0.3133  0.8153  0.6290
Au  0.4538  0.4539  0.9069
Au  0.5462  0.5461  0.0931
Au  0.6867  0.1847  0.3710

---

(6)
Here is a geometry-optimized Pr2AgAu6 structure from Alexandria via LeMat-Bulk. Energies are from PBE.

Calculated values
Calculated density = 13.02 g cm⁻³
Space group = P-3m1 (164)
Formation energy from the elements = -48.6 kJ/mol of atoms
Magnetization = 0.0 μB/cell

Unit cell a=6.3715 b=6.3715 c=5.6983 alpha=90.00 beta=90.00 gamma=120.00
Positions (direct):
Pr  0.3333  0.6667  0.3298
Pr  0.6667  0.3333  0.6702
Ag  0.0000  0.0000  0.5000
Au  0.1837  0.3674  0.8213
Au  0.1837  0.8163  0.8213
Au  0.3674  0.1837  0.1787
Au  0.6326  0.8163  0.8213
Au  0.8163  0.1837  0.1787
Au  0.8163  0.6326  0.1787

---

(7)
Here is a geometry-optimized PrAg6Au2 structure from Alexandria via LeMat-Bulk. Energies are from PBE.

Calculated values
Calculated density = 10.90 g cm⁻³
Space group = C2/m (12)
Formation energy from the elements = 0.4 kJ/mol of atoms
Magnetization = 0.0 μB/cell

Unit cell a=8.4334 b=8.4334 c=3.0318 alpha=100.27 beta=100.27 gamma=58.54
Positions (direct):
Pr  0.0000  0.0000  0.0000
Ag  0.0030  0.6476  0.3252
Ag  0.3347  0.6653  0.5000
Ag  0.3524  0.9970  0.6748
Ag  0.6476  0.0030  0.3252
Ag  0.6653  0.3347  0.5000
Ag  0.9970  0.3524  0.6748
Au  0.3475  0.3475  0.8475
Au  0.6525  0.6525  0.1525

---

(8)
Here is a geometry-optimized PrAgAu4 structure from Alexandria via LeMat-Bulk. Energies are from PBE.

Calculated values
Calculated density = 13.47 g cm⁻³
Space group = P6/mmm (191)
Formation energy from the elements = -40.1 kJ/mol of atoms
Magnetization = 0.0 μB/cell

Unit cell a=4.7615 b=4.7615 c=6.5111 alpha=90.00 beta=90.00 gamma=120.00
Positions (direct):
Pr  0.0000  0.0000  0.0000
Ag  0.0000  0.0000  0.5000
Au  0.3333  0.6667  0.2730
Au  0.3333  0.6667  0.7270
Au  0.6667  0.3333  0.2730
Au  0.6667  0.3333  0.7270